Computed, not measured: NdCoC after structural relaxation at the PBE-GGA level of DFT.

Properties
Density in Mg/m³: 7.20
E above lowest polymorph in meV/atom: 0
E_tot in eV/cell: -43.272
Magnetization in μB/f.u.: 0.0
DOS at the Fermi energy in states/eV per atom: 0.645
Formation energy in eV/f.u.: -0.5

Geometry as POSCAR:
```
NdCoC
1.0
3.659 0.000 0.000
0.000 3.659 0.000
0.000 0.000 7.416
C Nd Co
2 2 2
direct
0.500 0.000 0.500
0.000 0.500 0.000
0.000 0.000 0.250
0.000 0.000 0.750
0.500 0.500 0.000
0.500 0.500 0.500
```


Computed, not measured: Na3ZrTl after structural relaxation at the PBE-GGA level of DFT.

Properties
Density in Mg/m³: 3.37
E above lowest polymorph in meV/atom: 0
E_tot in eV/cell: -10.417
Magnetization in μB/f.u.: 2.9
DOS at the Fermi energy in states/eV per atom: 1.688
Formation energy in eV/f.u.: 4.5

Geometry as POSCAR:
```
Na3ZrTl
1.0
-4.677 -3.115 -0.539
1.471 -1.293 -5.295
2.798 -4.527 1.883
Na Tl Zr
3 1 1
direct
0.500 0.000 0.000
0.000 0.500 0.000
0.000 0.000 0.500
0.000 0.000 0.000
0.500 0.500 0.500
```


Computed, not measured: La3PmDy12 after structural relaxation at the PBE-GGA level of DFT.

Properties
Density in Mg/m³: 7.97
E_tot in eV/cell: -74.312
Magnetization in μB/f.u.: 0.0
DOS at the Fermi energy in states/eV per atom: 1.548
Formation energy in eV/f.u.: 0.4

Geometry as POSCAR:
```
La3PmDy12
1.0
5.077 0.000 0.000
0.000 5.077 0.000
0.000 0.000 20.308
Dy Pm La
12 1 3
direct
0.000 0.500 0.877
0.500 0.500 0.500
0.000 0.500 0.626
0.500 0.000 0.123
0.500 0.000 0.877
0.500 0.500 0.249
0.000 0.500 0.374
0.500 0.000 0.626
0.500 0.500 0.000
0.000 0.500 0.123
0.500 0.000 0.374
0.500 0.500 0.751
0.000 0.000 0.000
0.000 0.000 0.250
0.000 0.000 0.500
0.000 0.000 0.750
```


Computed, not measured: Nd6Ni2AsI3 after structural relaxation at the PBE-GGA level of DFT.

Properties
Density in Mg/m³: 6.51
E_tot in eV/cell: -59.643
Magnetization in μB/f.u.: 0.0
E_form (uncorrected) in eV per atom: -0.8478
DOS at the Fermi energy in states/eV per atom: 0.932

Geometry as POSCAR:
```
Nd6Ni2AsI3
1.0
-0.827 -6.294 3.685
6.140 1.212 -3.834
1.535 4.965 6.379
Nd Ni I As
6 2 3 1
direct
0.064 0.415 0.188
0.936 0.585 0.812
0.711 0.711 0.187
0.585 0.936 0.812
0.415 0.064 0.188
0.289 0.289 0.813
0.333 0.667 0.000
0.667 0.333 0.000
0.500 0.500 0.500
0.162 0.838 0.500
0.838 0.162 0.500
0.000 0.000 0.000
```


Computed, not measured: Pr2DyY after structural relaxation at the PBE-GGA level of DFT.

Properties
Density in Mg/m³: 6.51
E above lowest polymorph in meV/atom: 9
E_tot in eV/cell: -20.550
Magnetization in μB/f.u.: 0.0
DOS at the Fermi energy in states/eV per atom: 1.530
Formation energy in eV/f.u.: 0.1

Geometry as POSCAR:
```
Pr2DyY
1.0
-1.748 -1.932 -2.557
1.822 -2.995 1.018
-7.372 -2.207 6.705
Pr Dy Y
2 1 1
direct
0.000 0.000 0.249
0.000 0.000 0.751
0.500 0.500 0.000
0.500 0.500 0.500
```


Computed, not measured: PaGa2RhO8 after structural relaxation at the PBE-GGA level of DFT.

Properties
Density in Mg/m³: 7.04
E_tot in eV/cell: -85.028
Magnetization in μB/f.u.: 1.2
E_form (uncorrected) in eV per atom: -1.8718
DOS at the Fermi energy in states/eV per atom: 0.546

Geometry as POSCAR:
```
PaGa2RhO8
1.0
4.736 -0.043 -0.003
-0.014 4.735 -0.005
0.004 0.007 6.328
O Ga Rh Pa
8 2 1 1
direct
0.317 0.317 0.500
0.683 0.683 0.500
0.794 0.206 0.231
0.206 0.794 0.769
0.704 0.704 0.000
0.206 0.794 0.231
0.296 0.296 0.000
0.794 0.206 0.769
0.500 0.500 0.759
0.500 0.500 0.241
0.000 0.000 0.000
0.000 0.000 0.500
```